Entry from Alexandria: AlGa3Os after structural relaxation (GGA-PBE).

```
AlGa3Os
1.0
4.833 0.000 0.000
0.000 4.833 0.000
0.000 0.000 4.833
Os Al Ga
1 1 3
Cartesian
0.000 0.000 0.000 Os
2.417 2.417 2.417 Al
0.000 2.417 0.000 Ga
0.000 0.000 2.417 Ga
2.417 0.000 0.000 Ga
```

**Excess energy over the best structure of this formula in the dataset**: 0.0 kJ per mole of atoms
**V**: 113 Å³/cell
**Mass density**: 6.3 g/cm³
**Formation enthalpy at 0 K**: 213 meV per atom